No. 1
Material: HfPtPbO6
Method: DFT, PBE-GGA
State: optimized geometry Values from VASP.

Calculated values
Its raw total energy is -126.93 eV for the cell shown.

Quantum ESPRESSO input file:
```
&SYSTEM
  ibrav = 0, nat = 18, ntyp = 4
/
ATOMIC_SPECIES
O 16.00 O.upf
Pb 207.20 Pb.upf
Hf 178.49 Hf.upf
Pt 195.08 Pt.upf
CELL_PARAMETERS angstrom
5.301 0.000 0.000
-2.651 4.591 0.000
0.000 0.000 9.634
ATOMIC_POSITIONS crystal
O 0.006 0.355 0.632
O 0.355 0.349 0.368
O 0.349 0.994 0.632
O 0.994 0.645 0.368
O 0.651 0.645 0.132
O 0.355 0.006 0.132
O 0.006 0.651 0.868
O 0.645 0.994 0.868
O 0.349 0.355 0.868
O 0.645 0.651 0.632
O 0.651 0.006 0.368
O 0.994 0.349 0.132
Pb 0.000 0.000 0.000
Pb 0.000 0.000 0.500
Hf 0.333 0.667 0.250
Hf 0.667 0.333 0.750
Pt 0.333 0.667 0.750
Pt 0.667 0.333 0.250
```


No. 2
Material: HfPt3Pb2O12
Method: DFT, PBE-GGA
State: optimized geometry Values from VASP.

Calculated values
Its raw total energy is -112.59 eV for the cell shown.

Quantum ESPRESSO input file:
```
&SYSTEM
  ibrav = 0, nat = 18, ntyp = 4
/
ATOMIC_SPECIES
O 16.00 O.upf
Hf 178.49 Hf.upf
Pt 195.08 Pt.upf
Pb 207.20 Pb.upf
CELL_PARAMETERS angstrom
-0.514 5.551 -5.021
-6.225 1.138 -4.030
-4.413 5.963 1.119
ATOMIC_POSITIONS crystal
O 0.071 0.668 0.071
O 0.929 0.929 0.332
O 0.929 0.332 0.929
O 0.672 0.057 0.672
O 0.071 0.071 0.668
O 0.328 0.328 0.943
O 0.668 0.071 0.071
O 0.332 0.929 0.929
O 0.057 0.672 0.672
O 0.672 0.672 0.057
O 0.328 0.943 0.328
O 0.943 0.328 0.328
Hf 0.000 0.000 0.000
Pt 0.000 0.000 0.500
Pt 0.500 0.000 0.000
Pt 0.000 0.500 0.000
Pb 0.702 0.702 0.702
Pb 0.298 0.298 0.298
```


No. 3
Material: PuHfPbO6
Method: DFT, PBE-GGA
State: optimized geometry Values from VASP.

Calculated values
Its raw total energy is -160.80 eV for the cell shown.

Quantum ESPRESSO input file:
```
&SYSTEM
  ibrav = 0, nat = 18, ntyp = 4
/
ATOMIC_SPECIES
O 16.00 O.upf
Hf 178.49 Hf.upf
Pu 244.00 Pu.upf
Pb 207.20 Pb.upf
CELL_PARAMETERS angstrom
5.637 0.000 0.000
-2.818 4.881 0.000
0.000 0.000 10.487
ATOMIC_POSITIONS crystal
O 0.373 0.370 0.354
O 0.370 0.373 0.854
O 0.627 0.630 0.646
O 0.630 0.002 0.354
O 0.002 0.630 0.854
O 0.002 0.373 0.646
O 0.627 0.998 0.854
O 0.370 0.998 0.646
O 0.373 0.002 0.146
O 0.998 0.627 0.354
O 0.630 0.627 0.146
O 0.998 0.370 0.146
Hf 0.667 0.333 0.750
Hf 0.333 0.667 0.250
Pu 0.667 0.333 0.250
Pu 0.333 0.667 0.750
Pb 0.000 0.000 0.500
Pb 0.000 0.000 0.000
```


No. 4
Material: PuHfPb2O6
Method: DFT, PBE-GGA
State: optimized geometry Values from VASP.

Calculated values
Its raw total energy is -85.15 eV for the cell shown.

Quantum ESPRESSO input file:
```
&SYSTEM
  ibrav = 0, nat = 10, ntyp = 4
/
ATOMIC_SPECIES
Pu 244.00 Pu.upf
Hf 178.49 Hf.upf
O 16.00 O.upf
Pb 207.20 Pb.upf
CELL_PARAMETERS angstrom
6.058 0.000 -0.428
0.000 5.997 0.000
-2.808 -2.999 4.376
ATOMIC_POSITIONS crystal
Pu 0.000 0.500 0.000
Hf 0.500 0.000 0.000
O 0.792 0.297 0.106
O 0.792 0.809 0.106
O 0.208 0.703 0.894
O 0.340 0.757 0.514
O 0.208 0.191 0.894
O 0.660 0.243 0.486
Pb 0.226 0.253 0.507
Pb 0.774 0.747 0.493
```